The following is a PBE-GGA calculation of an optimized crystal structure of Na4In5Sn, from Alexandria via LeMat-Bulk.

The calculation puts the magnetization at 0.000 μB/f.u. The calculation puts the density at 4.2 g/cm3. The calculation puts the formation energy at -0.056 eV per atom. Its space-group type is No. 79.

Cell: 6.755 7.555 7.555 Å, 78.47 63.45 63.45°
Fractional coordinates of all 10 atoms:
Na  0.393  0.369  0.745
Na  0.762  0.745  0.631
Na  0.138  0.255  0.369
Na  0.507  0.631  0.255
In  0.867  0.316  0.854
In  0.183  0.854  0.684
In  0.721  0.146  0.316
In  0.037  0.684  0.146
In  0.667  0.000  0.000
Sn  0.236  0.000  0.000

The following is a PBE-GGA calculation of an optimized crystal structure of Zr3NiHg3Se8, from Alexandria via LeMat-Bulk.

The calculation puts the magnetization at 0.000 μB/f.u. The calculation puts the density at 5.5 g/cm3. The formation energy (no corrections) comes out at -0.753 eV/atom. Its space-group type is No. 12.

Cell: 7.387 7.386 10.930 Å, 109.78 90.00 120.00°
Fractional coordinates of all 15 atoms:
Zr  0.500  0.000  0.500
Zr  0.500  0.500  0.500
Zr  0.000  0.500  0.500
Ni  0.000  0.000  0.500
Hg  0.000  0.000  0.000
Hg  0.000  0.500  0.000
Hg  0.500  0.500  0.000
Se  0.279  0.558  0.337
Se  0.721  0.442  0.663
Se  0.794  0.588  0.346
Se  0.206  0.412  0.654
Se  0.794  0.051  0.346
Se  0.206  0.949  0.654
Se  0.257  0.051  0.346
Se  0.743  0.949  0.654

The following is a PBE-GGA calculation of an optimized crystal structure of CdRh8, from Alexandria via LeMat-Bulk.

The calculation puts the magnetization at 0.000 μB/f.u. The calculation puts the density at 11.7 g/cm3. The calculation puts the formation energy at 0.061 eV per atom. Its space-group type is No. 139.

Cell: 3.885 6.165 6.165 Å, 95.70 108.37 71.63°
Fractional coordinates of all 9 atoms:
Cd  0.000  0.000  0.000
Rh  0.338  0.662  0.338
Rh  0.662  0.338  0.662
Rh  0.000  0.662  0.662
Rh  0.326  0.347  0.000
Rh  0.674  0.000  0.347
Rh  0.000  0.338  0.338
Rh  0.326  0.000  0.653
Rh  0.674  0.653  0.000

The following is a PBE-GGA calculation of an optimized crystal structure of PuMn2Ga, from Alexandria via LeMat-Bulk.

The calculation puts the magnetization at 0.852 μB/f.u. The calculation puts the density at 11.5 g/cm3. The calculation puts the formation energy at -0.095 eV per atom. Its space-group type is No. 123.

Cell: 3.464 4.197 4.197 Å, 90.00 90.00 90.00°
Each line ends with the local moment (μB).
Fractional coordinates of all 4 atoms:
Mn  0.000  0.000  0.500  -2.12
Mn  0.000  0.500  0.000  -2.12
Ga  0.500  0.500  0.500  0.10
Pu  0.500  0.000  0.000  4.90

The following is a PBE-GGA calculation of an optimized crystal structure of CeNpBiN2, from Alexandria via LeMat-Bulk.

The calculation puts the magnetization at 2.614 μB/f.u. The calculation puts the density at 10.1 g/cm3. The formation energy (no corrections) comes out at -1.126 eV/atom. Its space-group type is No. 107.

Cell: 3.923 3.923 7.150 Å, 105.92 105.92 90.00°
Each line ends with the local moment (μB).
Fractional coordinates of all 5 atoms:
Ce  0.162  0.162  0.324  0.16
Np  0.832  0.832  0.664  2.75
Bi  0.494  0.494  0.989  -0.10
N  0.756  0.256  0.512  -0.12
N  0.256  0.756  0.512  -0.12

The following is a PBE-GGA calculation of an optimized crystal structure of Co2MoOs, from Alexandria via LeMat-Bulk.

The calculation puts the magnetization at 1.347 μB/f.u. As for the energy above the most stable polymorph in this dataset: 0.173 eV/atom. The calculation puts the density at 13.0 g/cm3. The calculation puts the formation energy at 0.171 eV per atom. Its space-group type is No. 99.

Cell: 3.081 3.081 5.454 Å, 90.00 90.00 90.00°
Each line ends with the local moment (μB).
Fractional coordinates of all 4 atoms:
Co  0.000  0.000  0.028  1.27
Co  0.500  0.500  0.229  0.14
Mo  0.000  0.000  0.479  -0.17
Os  0.500  0.500  0.763  0.13

The following is a PBE-GGA calculation of an optimized crystal structure of KHfFe2, from Alexandria via LeMat-Bulk.

The calculation puts the magnetization at 3.707 μB/f.u. As for the energy above the most stable polymorph in this dataset: 0.076 eV/atom. The calculation puts the density at 5.1 g/cm3. The calculation puts the formation energy at 1.203 eV per atom. Its space-group type is No. 141.

Cell: 4.962 4.962 9.372 Å, 74.65 74.65 90.00°
Each line ends with the local moment (μB).
Fractional coordinates of all 8 atoms:
K  0.500  0.500  0.000  -0.02
K  0.250  0.750  0.500  -0.02
Hf  0.000  0.000  0.000  -0.62
Hf  0.750  0.250  0.500  -0.62
Fe  0.875  0.125  0.250  2.32
Fe  0.875  0.625  0.250  2.32
Fe  0.375  0.125  0.750  2.18
Fe  0.875  0.125  0.750  2.18

The following is a PBE-GGA calculation of an optimized crystal structure of ZrPa3, from Alexandria via LeMat-Bulk.

The calculation puts the magnetization at 0.000 μB/f.u. As for the energy above the most stable polymorph in this dataset: 0.012 eV/atom. The calculation puts the density at 13.2 g/cm3. The calculation puts the formation energy at 0.066 eV per atom. Its space-group type is No. 139.

Cell: 4.525 4.525 5.783 Å, 113.03 113.03 90.00°
Fractional coordinates of all 4 atoms:
Pa  0.750  0.250  0.500
Pa  0.250  0.750  0.500
Pa  0.500  0.500  0.000
Zr  0.000  0.000  0.000

Q: Which value of density does entry 1 give?
A: 4.2 g/cm3